Record 1
4
Lattice="-1.135 2.235 3.325 0.123 -1.706 3.796 8.201 3.021 3.376" Properties=species:S:1:pos:R:3 comment="SrPrHg2, relaxed, DFT PBE" e_tot_ev_per_atom=-2.123 ef_mev_per_atom=-357 pbc="T T T"
Hg 1.698 0.854 2.612
Hg 6.159 2.341 3.136
Pr -0.666 0.355 4.748
Sr 3.592 1.774 5.248

=====

Record 2
7
Lattice="4.111 0.000 -1.204 -0.978 6.447 -3.340 -0.175 -0.359 7.022" Properties=species:S:1:pos:R:3 comment="Bi4Pt3, relaxed, DFT PBE" e_tot_ev_per_atom=-5.064 ef_mev_per_atom=-258 pbc="T T T"
Bi 1.356 -0.037 4.629
Bi 1.602 6.125 -2.150
Bi 2.961 3.172 2.488
Bi -0.003 2.916 -0.009
Pt 0.692 1.552 2.361
Pt 2.266 4.535 0.117
Pt 0.000 0.000 0.000

=====

Record 3
10
Lattice="-2.678 6.111 -1.333 0.540 -1.218 -6.672 -4.066 -1.783 -0.004" Properties=species:S:1:pos:R:3 comment="Zr2Cd2Ni, relaxed, DFT PBE" e_tot_ev_per_atom=-4.788 ef_mev_per_atom=154 pbc="T T T"
Zr -3.370 2.171 -6.447
Zr -2.834 0.939 -1.561
Zr -2.120 -0.683 -4.676
Zr -4.084 3.792 -3.332
Cd -0.493 1.138 -6.194
Cd -1.948 4.454 -5.432
Cd -1.645 3.755 -1.811
Cd -0.190 0.438 -2.573
Ni 0.000 0.000 0.000
Ni -1.069 2.446 -4.002

=====

Record 4
6
Lattice="-3.183 0.119 0.588 -0.184 -5.602 0.137 1.635 2.955 8.253" Properties=species:S:1:pos:R:3 comment="YPa5, relaxed, DFT PBE" e_tot_ev_per_atom=-8.853 ef_mev_per_atom=137 pbc="T T T"
Pa -0.694 -2.643 5.701
Pa 1.051 0.105 5.666
Pa 0.401 -2.752 2.725
Pa -1.683 -2.742 0.363
Pa -1.038 0.114 3.277
Y 0.000 0.000 0.000

=====

Record 5
15
Lattice="-2.745 1.895 -7.307 2.610 -7.446 1.503 -10.473 -3.036 3.147" Properties=species:S:1:pos:R:3 comment="Cs3RbIn2Br9, relaxed, DFT PBE" formation_energy_uncorrected_ev_per_atom=-1.33 e_tot_ev_per_atom=-2.935 pbc="T T T"
Cs -3.693 -2.011 -3.549
Cs 0.000 0.000 0.000
Cs -6.914 -6.576 0.892
Rb -5.236 -1.518 1.573
Br -8.064 -5.545 -2.824
Br -0.067 -2.775 -2.902
Br -7.998 -2.793 0.054
Br 1.305 -3.723 0.751
Br -2.610 -5.794 -2.712
Br -1.248 -6.734 0.912
Br -2.543 -3.042 0.166
Br -1.372 0.948 -3.653
Br -9.359 -1.853 -3.569
In -0.809 -4.806 -0.943
In -9.798 -3.781 -1.715

=====

Record 6
8
Lattice="-0.883 -3.296 1.274 3.485 -0.594 0.879 -0.260 1.858 9.839" Properties=species:S:1:pos:R:3 comment="TiTc2Ir, relaxed, DFT PBE" e_tot_ev_per_atom=-9.167 ef_mev_per_atom=205 pbc="T T T"
Ti 1.301 -1.945 1.076
Ti 2.263 -0.341 5.897
Ir 0.000 0.000 0.000
Ir 0.079 -1.692 6.094
Tc 1.981 -0.399 3.199
Tc 0.865 -0.080 8.208
Tc 1.997 -1.996 9.241
Tc -0.160 -1.590 3.335